(1)
## NpU2Sn9 (PBE-GGA)

Data for a relaxed structure of NpU2Sn9. Values from VASP.

Values from the calculation:
The space-group type is P4/mmm. The value obtained for the density is 9.9 Mg/m³. The formation energy is -0.13 eV/atom. For the volume, the calculation gives 24.868 Å³ per atom.

Cell and atoms, written as Quantum ESPRESSO input:
```
&SYSTEM
  ibrav = 0, nat = 12, ntyp = 3
/
ATOMIC_SPECIES
Np 237.00 Np.upf
U 238.03 U.upf
Sn 118.71 Sn.upf
CELL_PARAMETERS angstrom
4.6229 0.0000 0.0000
0.0000 4.6229 0.0000
0.0000 0.0000 13.9636
ATOMIC_POSITIONS angstrom
Np 0.0000 0.0000 0.0000
U 0.0000 0.0000 4.6642
U 0.0000 0.0000 9.2994
Sn 0.0000 2.3114 2.3326
Sn 0.0000 2.3114 6.9818
Sn 0.0000 2.3114 11.6310
Sn 2.3114 0.0000 2.3326
Sn 2.3114 0.0000 6.9818
Sn 2.3114 0.0000 11.6310
Sn 2.3114 2.3114 0.0000
Sn 2.3114 2.3114 4.6536
Sn 2.3114 2.3114 9.3100
```

---

(2)
## NpUSn2 (PBE-GGA)

Data for a relaxed structure of NpUSn2. Values from VASP.

Values from the calculation:
The space-group type is P4/mmm. The value obtained for the density is 11.9 Mg/m³. The formation energy is 0.02 eV/atom. For the volume, the calculation gives 24.948 Å³ per atom.

Cell and atoms, written as Quantum ESPRESSO input:
```
&SYSTEM
  ibrav = 0, nat = 4, ntyp = 3
/
ATOMIC_SPECIES
Np 237.00 Np.upf
U 238.03 U.upf
Sn 118.71 Sn.upf
CELL_PARAMETERS angstrom
4.5900 0.0000 0.0000
0.0000 4.5900 0.0000
0.0000 0.0000 4.7367
ATOMIC_POSITIONS angstrom
Np 0.0000 0.0000 0.0000
U 2.2950 2.2950 0.0000
Sn 0.0000 2.2950 2.3684
Sn 2.2950 0.0000 2.3684
```

---

(3)
## NpU3Sn (PBE-GGA)

Data for a relaxed structure of NpU3Sn. Values from VASP.

Values from the calculation:
The space-group type is Cm. The value obtained for the density is 17.0 Mg/m³. The formation energy is 0.07 eV/atom. For the volume, the calculation gives 20.881 Å³ per atom.

Cell and atoms, written as Quantum ESPRESSO input:
```
&SYSTEM
  ibrav = 0, nat = 5, ntyp = 3
/
ATOMIC_SPECIES
Np 237.00 Np.upf
U 238.03 U.upf
Sn 118.71 Sn.upf
CELL_PARAMETERS angstrom
3.5779 -3.4479 0.0000
3.5779 3.4479 0.0000
-2.9468 0.0000 4.2316
ATOMIC_POSITIONS angstrom
Np 0.0000 0.0000 0.0000
U 1.0285 0.0000 2.1895
U 2.6406 1.9657 3.3183
U 2.6406 -1.9657 3.3183
Sn 4.1241 0.0000 1.1610
```

---

(4)
## NpVSn2 (PBE-GGA)

Data for a relaxed structure of NpVSn2. Values from VASP.

Values from the calculation:
The space-group type is R-3m. The value obtained for the density is 9.9 Mg/m³. The formation energy is 0.38 eV/atom. For the volume, the calculation gives 22.131 Å³ per atom.

Cell and atoms, written as Quantum ESPRESSO input:
```
&SYSTEM
  ibrav = 0, nat = 4, ntyp = 3
/
ATOMIC_SPECIES
Np 237.00 Np.upf
V 50.94 V.upf
Sn 118.71 Sn.upf
CELL_PARAMETERS angstrom
1.5310 0.8839 10.9021
-1.5310 0.8839 10.9021
0.0000 -1.7679 10.9021
ATOMIC_POSITIONS angstrom
Np 0.0000 0.0000 0.0000
V 0.0000 0.0000 16.3531
Sn 0.0000 0.0000 3.1948
Sn 0.0000 0.0000 29.5114
```

---

(5)
## NpV4Sn (PBE-GGA)

Data for a relaxed structure of NpV4Sn. Values from VASP.

Values from the calculation:
The space-group type is F-43m. The value obtained for the density is 9.1 Mg/m³. The formation energy is 0.29 eV/atom. For the volume, the calculation gives 16.942 Å³ per atom.

Cell and atoms, written as Quantum ESPRESSO input:
```
&SYSTEM
  ibrav = 0, nat = 6, ntyp = 3
/
ATOMIC_SPECIES
Np 237.00 Np.upf
V 50.94 V.upf
Sn 118.71 Sn.upf
CELL_PARAMETERS angstrom
0.0000 3.7042 3.7042
3.7042 0.0000 3.7042
3.7042 3.7042 0.0000
ATOMIC_POSITIONS angstrom
Np 0.0000 0.0000 0.0000
V 2.7532 2.7532 2.7532
V 4.6551 4.6551 2.7532
V 4.6551 2.7532 4.6551
V 2.7532 4.6551 4.6551
Sn 5.5563 5.5563 5.5563
```

---

(6)
## YNpSn2 (PBE-GGA)

Data for a relaxed structure of YNpSn2. Values from VASP.

Values from the calculation:
The space-group type is P4/mmm. The value obtained for the density is 8.8 Mg/m³. The formation energy is -0.25 eV/atom. For the volume, the calculation gives 26.473 Å³ per atom.

Cell and atoms, written as Quantum ESPRESSO input:
```
&SYSTEM
  ibrav = 0, nat = 4, ntyp = 3
/
ATOMIC_SPECIES
Y 88.91 Y.upf
Np 237.00 Np.upf
Sn 118.71 Sn.upf
CELL_PARAMETERS angstrom
3.9630 0.0000 0.0000
0.0000 3.9630 0.0000
0.0000 0.0000 6.7425
ATOMIC_POSITIONS angstrom
Y 0.0000 0.0000 0.0000
Np 0.0000 0.0000 3.3712
Sn 1.9815 1.9815 1.6317
Sn 1.9815 1.9815 5.1108
```

---

(7)
## NpZn2Sn2 (PBE-GGA)

Data for a relaxed structure of NpZn2Sn2. Values from VASP.

Values from the calculation:
The space-group type is Cmcm. The value obtained for the density is 9.3 Mg/m³. The formation energy is -0.04 eV/atom. For the volume, the calculation gives 21.627 Å³ per atom.

Cell and atoms, written as Quantum ESPRESSO input:
```
&SYSTEM
  ibrav = 0, nat = 10, ntyp = 3
/
ATOMIC_SPECIES
Np 237.00 Np.upf
Zn 65.41 Zn.upf
Sn 118.71 Sn.upf
CELL_PARAMETERS angstrom
2.1922 -11.1886 0.0000
2.1922 11.1886 0.0000
0.0000 0.0000 4.4086
ATOMIC_POSITIONS angstrom
Np 2.1922 8.0997 3.3065
Np 2.1922 -8.0997 1.1022
Zn 2.1922 10.4811 1.1022
Zn 2.1922 0.8551 1.1022
Zn 2.1922 -0.8551 3.3065
Zn 2.1922 -10.4811 3.3065
Sn 2.1922 5.6045 1.1022
Sn 2.1922 2.7424 3.3065
Sn 2.1922 -2.7424 1.1022
Sn 2.1922 -5.6045 3.3065
```

---

(8)
## Np2Zn3Sn3 (PBE-GGA)

Data for a relaxed structure of Np2Zn3Sn3. Values from VASP.

Values from the calculation:
The space-group type is Pmmm. The value obtained for the density is 9.6 Mg/m³. The formation energy is -0.03 eV/atom. For the volume, the calculation gives 22.219 Å³ per atom.

Cell and atoms, written as Quantum ESPRESSO input:
```
&SYSTEM
  ibrav = 0, nat = 8, ntyp = 3
/
ATOMIC_SPECIES
Np 237.00 Np.upf
Zn 65.41 Zn.upf
Sn 118.71 Sn.upf
CELL_PARAMETERS angstrom
4.4920 0.0000 0.0000
0.0000 4.5183 0.0000
0.0000 0.0000 8.7578
ATOMIC_POSITIONS angstrom
Np 0.0000 0.0000 2.1683
Np 0.0000 0.0000 6.5895
Zn 0.0000 2.2592 0.0000
Zn 2.2460 2.2592 2.0594
Zn 2.2460 2.2592 6.6984
Sn 0.0000 2.2592 4.3789
Sn 2.2460 0.0000 0.0000
Sn 2.2460 0.0000 4.3789
```